No. 1
First-principles (GGA-PBE) data for PmNd3Ag3 after structural relaxation, as listed in Alexandria.

Results
- final energy (eV/atom) = -4.057
- DFT formation energy (eV/atom) = -0.11
- ρ (Mg/m³) = 7.40
- distance to the lowest polymorph of the same formula (meV/atom) = 0
- Fermi-level density of states (states/eV per cell) = 13.19

Lattice parameters (Å, degrees): 7.5151 7.5151 7.1816 90.59 90.59 94.19
Positions (direct):
Nd (0.3634, 0.3634, 0.6318)
Ag (0.9325, 0.9325, 0.1816)
Ag (0.0006, 0.5175, 0.2685)
Nd (0.6366, 0.6366, 0.3682)
Pm (0.7443, 0.7443, 0.8611)
Nd (0.7326, 0.2674, 0.0000)
Pm (0.2557, 0.2557, 0.1389)
Nd (0.8204, 0.1796, 0.5000)
Ag (0.5175, 0.0006, 0.2685)
Nd (0.1796, 0.8204, 0.5000)
Ag (0.0675, 0.0675, 0.8184)
Ag (0.9994, 0.4825, 0.7315)
Nd (0.2674, 0.7326, 0.0000)
Ag (0.4825, 0.9994, 0.7315)

***

No. 2
First-principles (GGA-PBE) data for NaCa2PbS after structural relaxation, as listed in Alexandria.

Results
- final energy (eV/atom) = -3.529
- formation energy from raw total energies (eV per formula unit) = -4.5
- ρ (Mg/m³) = 3.78
- Fermi-level density of states (states/eV per cell) = 3.68

Lattice parameters (Å, degrees): 5.4085 5.4085 5.1475 90.00 90.00 90.00
Positions (direct):
Ca (0.0000, 0.5000, 0.0000)
S (0.0000, 0.0000, 0.0000)
Pb (0.5000, 0.5000, 0.5000)
Ca (0.5000, 0.0000, 0.0000)
Na (0.0000, 0.0000, 0.5000)

***

No. 3
First-principles (GGA-PBE) data for Tb3Sm6ThSc2 after structural relaxation, as listed in Alexandria.

Results
- final energy (eV/atom) = -5.140
- DFT formation energy (eV/atom) = 0.05
- ρ (Mg/m³) = 7.46
- Fermi-level density of states (states/eV per cell) = 17.19

Lattice parameters (Å, degrees): 6.1338 6.1338 11.7961 94.99 94.99 119.97
Positions (direct):
Sm (0.0823, 0.4157, 0.2452)
Sc (0.3332, 0.6668, 0.0000)
Sm (0.9177, 0.5843, 0.7548)
Th (0.0000, 0.0000, 0.0000)
Tb (0.1671, 0.8329, 0.5000)
Tb (0.5000, 0.5000, 0.5000)
Sc (0.6668, 0.3332, 0.0000)
Sm (0.7489, 0.7489, 0.2448)
Tb (0.8329, 0.1671, 0.5000)
Sm (0.5843, 0.9177, 0.7548)
Sm (0.4157, 0.0823, 0.2452)
Sm (0.2511, 0.2511, 0.7552)

***

No. 4
First-principles (GGA-PBE) data for Hf3SnH2 after structural relaxation, as listed in Alexandria.

Results
- final energy (eV/atom) = -6.952
- ρ (Mg/m³) = 10.81
- distance to the lowest polymorph of the same formula (meV/atom) = 179
- Fermi-level density of states (states/eV per cell) = 8.07

Lattice parameters (Å, degrees): 3.1966 7.8615 8.5213 106.35 100.81 90.00
Positions (direct):
Hf (0.0732, 0.6678, 0.1464)
Hf (0.5833, 0.3323, 0.1667)
Sn (0.3439, 0.0007, 0.6878)
H (0.7112, 0.4202, 0.4224)
Hf (0.4167, 0.6677, 0.8333)
Hf (0.7423, 0.6852, 0.4847)
Hf (0.2577, 0.3148, 0.5153)
Sn (0.6561, 0.9993, 0.3122)
Hf (0.9268, 0.3322, 0.8536)
H (0.2888, 0.5798, 0.5776)
H (0.9849, 0.8031, 0.9698)
H (0.0151, 0.1969, 0.0302)

***

No. 5
First-principles (GGA-PBE) data for Ba3HgBi after structural relaxation, as listed in Alexandria.

Results
- final energy (eV/atom) = -2.282
- DFT formation energy (eV/atom) = -0.29
- ρ (Mg/m³) = 4.36
- distance to the lowest polymorph of the same formula (meV/atom) = 232
- Fermi-level density of states (states/eV per cell) = 6.95

Lattice parameters (Å, degrees): 6.7886 6.7886 6.7886 90.00 90.00 90.00
Positions (direct):
Bi (0.0000, 0.0000, 0.0000)
Ba (0.0000, 0.0000, 0.5000)
Hg (0.5000, 0.5000, 0.5000)
Ba (0.5000, 0.0000, 0.0000)
Ba (0.0000, 0.5000, 0.0000)

***

No. 6
First-principles (GGA-PBE) data for Zr3Fe8Si after structural relaxation, as listed in Alexandria.

Results
- final energy (eV/atom) = -8.479
- formation energy from raw total energies (eV per formula unit) = -3.0
- ρ (Mg/m³) = 7.49
- Fermi-level density of states (states/eV per cell) = 8.36

Lattice parameters (Å, degrees): 8.4465 8.4465 8.4465 33.78 33.78 33.78
Site moments in Bohr magnetons follow the coordinates.
Positions (direct):
Fe (0.4368, 0.9371, 0.4368)  1.82
Fe (0.4408, 0.9388, 0.9388)  1.88
Fe (0.6883, 0.6883, 0.6883)  1.89
Fe (0.9388, 0.9388, 0.4408)  1.88
Zr (0.3760, 0.3760, 0.3760)  -0.43
Fe (0.1885, 0.1885, 0.1885)  1.85
Zr (0.9946, 0.9946, 0.9946)  -0.42
Fe (0.4368, 0.4368, 0.9371)  1.82
Zr (0.5038, 0.5038, 0.5038)  -0.43
Si (0.8698, 0.8698, 0.8698)  0.00
Fe (0.9371, 0.4368, 0.4368)  1.82
Fe (0.9388, 0.4408, 0.9388)  1.88

***

No. 7
First-principles (GGA-PBE) data for PrSmAgBi after structural relaxation, as listed in Alexandria.

Results
- final energy (eV/atom) = -4.543
- DFT formation energy (eV/atom) = -0.49
- ρ (Mg/m³) = 8.87
- Fermi-level density of states (states/eV per cell) = 3.55

Lattice parameters (Å, degrees): 5.4401 5.4401 5.4401 60.00 60.00 60.00
Positions (direct):
Ag (0.2500, 0.2500, 0.2500)
Sm (0.5000, 0.5000, 0.5000)
Pr (0.0000, 0.0000, 0.0000)
Bi (0.7500, 0.7500, 0.7500)

***

No. 8
First-principles (GGA-PBE) data for Sm5DyHo2Er after structural relaxation, as listed in Alexandria.

Results
- final energy (eV/atom) = -4.509
- DFT formation energy (eV/atom) = 0.15
- ρ (Mg/m³) = 7.79
- Fermi-level density of states (states/eV per cell) = 29.03

Lattice parameters (Å, degrees): 5.6128 10.4631 10.6348 90.00 90.00 105.56
Positions (direct):
Sm (0.4813, 0.9627, 0.7421)
Sm (0.5187, 0.0373, 0.2421)
Dy (0.1992, 0.3984, 0.0105)
Sm (0.7195, 0.4390, 0.8105)
Sm (0.7014, 0.4027, 0.2068)
Er (0.4098, 0.8196, 0.4602)
Ho (0.1112, 0.2224, 0.7382)
Sm (0.2986, 0.5973, 0.7068)
Ho (0.8854, 0.7709, 0.8134)
Sm (0.2805, 0.5610, 0.3105)
Sm (0.6126, 0.2252, 0.5224)
Sm (0.9833, 0.9665, 0.5198)
Sm (0.0167, 0.0335, 0.0198)
Ho (0.1146, 0.2291, 0.3134)
Ho (0.8888, 0.7776, 0.2382)
Er (0.5902, 0.1804, 0.9602)
Sm (0.3874, 0.7748, 0.0224)
Dy (0.8008, 0.6016, 0.5105)